[1]
Compound: La2PmNd2Dy2
Source: Alexandria
Functional: PBE
Structure: relaxed

Unit cell a=6.3275 b=6.3275 c=8.2039 alpha=97.31 beta=97.31 gamma=48.22
Fractional coordinates of all 7 atoms:
La (0.1423, 0.1423, 0.4268)
La (0.8577, 0.8577, 0.5732)
Pm (0.0000, 0.0000, 0.0000)
Nd (0.2849, 0.2849, 0.8588)
Nd (0.7151, 0.7151, 0.1412)
Dy (0.4293, 0.4293, 0.2848)
Dy (0.5707, 0.5707, 0.7152)

Computed properties:
final energy: -4.74 eV/atom
formation energy from the elements: 0.022 eV per atom
N(E_F): 11.8 states/eV/cell

***

[2]
Compound: LaPmNdDy3
Source: Alexandria
Functional: PBE
Structure: relaxed

Unit cell a=5.7440 b=7.0354 c=9.9503 alpha=90.01 beta=90.03 gamma=90.01
Fractional coordinates of all 12 atoms:
La (0.2498, 0.0026, 0.2551)
La (0.7502, 0.9974, 0.7449)
Pm (0.2495, 0.4971, 0.2561)
Pm (0.7505, 0.5029, 0.7439)
Nd (0.2526, 0.2552, 0.9167)
Nd (0.7474, 0.7448, 0.0833)
Dy (0.2477, 0.2525, 0.5832)
Dy (0.2476, 0.7484, 0.9162)
Dy (0.2526, 0.7475, 0.5833)
Dy (0.7474, 0.2525, 0.4167)
Dy (0.7524, 0.2516, 0.0838)
Dy (0.7523, 0.7475, 0.4168)

Computed properties:
final energy: -4.64 eV/atom
formation energy from the elements: 0.064 eV per atom
N(E_F): 17.7 states/eV/cell

***

[3]
Compound: La2Pm6NdDy3
Source: Alexandria
Functional: PBE
Structure: relaxed

Unit cell a=6.3191 b=6.3191 c=12.0794 alpha=95.02 beta=95.02 gamma=120.03
Fractional coordinates of all 12 atoms:
La (0.1666, 0.8334, 0.0000)
La (0.8334, 0.1666, 0.0000)
Pm (0.0815, 0.4144, 0.7445)
Pm (0.2526, 0.2526, 0.2555)
Pm (0.4144, 0.0815, 0.7445)
Pm (0.5856, 0.9185, 0.2555)
Pm (0.7474, 0.7474, 0.7445)
Pm (0.9185, 0.5856, 0.2555)
Nd (0.5000, 0.5000, 0.0000)
Dy (0.0000, 0.0000, 0.5000)
Dy (0.3336, 0.6664, 0.5000)
Dy (0.6664, 0.3336, 0.5000)

Computed properties:
final energy: -4.73 eV/atom
formation energy from the elements: 0.019 eV per atom
N(E_F): 18.8 states/eV/cell

***

[4]
Compound: LaPm2NdDy
Source: Alexandria
Functional: PBE
Structure: relaxed

Unit cell a=8.8663 b=6.5404 c=6.4350 alpha=90.00 beta=104.13 gamma=90.00
Fractional coordinates of all 10 atoms:
La (0.0000, 0.0000, 0.0000)
La (0.0000, 0.0000, 0.5000)
Pm (0.3158, 0.3244, 0.1731)
Pm (0.3158, 0.6756, 0.6731)
Pm (0.6842, 0.3244, 0.3269)
Pm (0.6842, 0.6756, 0.8269)
Nd (0.5000, 0.1602, 0.7500)
Nd (0.5000, 0.8398, 0.2500)
Dy (0.0000, 0.4627, 0.7500)
Dy (0.0000, 0.5373, 0.2500)

Computed properties:
final energy: -4.50 eV/atom
formation energy from the elements: 0.262 eV per atom
N(E_F): 14.9 states/eV/cell

***

[5]
Compound: La2Pm2Nd2Dy
Source: Alexandria
Functional: PBE
Structure: relaxed

Unit cell a=6.3659 b=6.3659 c=8.2088 alpha=97.44 beta=97.44 gamma=48.27
Fractional coordinates of all 7 atoms:
La (0.1429, 0.1429, 0.4257)
La (0.8571, 0.8571, 0.5743)
Pm (0.2848, 0.2848, 0.8610)
Pm (0.7152, 0.7152, 0.1390)
Nd (0.4296, 0.4296, 0.2821)
Nd (0.5704, 0.5704, 0.7179)
Dy (0.0000, 0.0000, 0.0000)

Computed properties:
final energy: -4.76 eV/atom
formation energy from the elements: 0.020 eV per atom
N(E_F): 12.3 states/eV/cell

***

[6]
Compound: La6PmNd2Dy
Source: Alexandria
Functional: PBE
Structure: relaxed

Unit cell a=9.1781 b=9.1781 c=9.3138 alpha=90.14 beta=90.14 gamma=114.54
Fractional coordinates of all 20 atoms:
La (0.0292, 0.4659, 0.8190)
La (0.0762, 0.7766, 0.5920)
La (0.2234, 0.9238, 0.9080)
La (0.2807, 0.5702, 0.4055)
La (0.4298, 0.7193, 0.0945)
La (0.4659, 0.0292, 0.3190)
La (0.5341, 0.9708, 0.6810)
La (0.5702, 0.2807, 0.9055)
La (0.7193, 0.4298, 0.5945)
La (0.7766, 0.0762, 0.0920)
La (0.9238, 0.2234, 0.4080)
La (0.9708, 0.5341, 0.1810)
Pm (0.0687, 0.9313, 0.2500)
Pm (0.9313, 0.0687, 0.7500)
Nd (0.2055, 0.2955, 0.0644)
Nd (0.2955, 0.2055, 0.5644)
Nd (0.7045, 0.7945, 0.4356)
Nd (0.7945, 0.7045, 0.9356)
Dy (0.4295, 0.5705, 0.7500)
Dy (0.5705, 0.4295, 0.2500)

Computed properties:
final energy: -4.74 eV/atom
formation energy from the elements: 0.107 eV per atom
N(E_F): 24.8 states/eV/cell

***

[7]
Compound: LaPm4Nd2Dy2
Source: Alexandria
Functional: PBE
Structure: relaxed

Unit cell a=8.1584 b=8.1584 c=8.1442 alpha=107.58 beta=107.58 gamma=36.87
Fractional coordinates of all 9 atoms:
La (0.0000, 0.0000, 0.0000)
Pm (0.2220, 0.2220, 0.3311)
Pm (0.4440, 0.4440, 0.6672)
Pm (0.5560, 0.5560, 0.3328)
Pm (0.7780, 0.7780, 0.6689)
Nd (0.1116, 0.1116, 0.6665)
Nd (0.8884, 0.8884, 0.3335)
Dy (0.3315, 0.3315, 0.0008)
Dy (0.6685, 0.6685, 0.9992)

Computed properties:
final energy: -4.72 eV/atom
formation energy from the elements: 0.019 eV per atom
N(E_F): 14.4 states/eV/cell

***

[8]
Compound: LaPmNd2Dy4
Source: Alexandria
Functional: PBE
Structure: relaxed

Unit cell a=7.2709 b=7.2803 c=10.1160 alpha=90.00 beta=90.00 gamma=90.00
Fractional coordinates of all 16 atoms:
La (0.0000, 0.0000, 0.0000)
La (0.5000, 0.0000, 0.0000)
Pm (0.0000, 0.0000, 0.5000)
Pm (0.0000, 0.5000, 0.0000)
Nd (0.0000, 0.5000, 0.5000)
Nd (0.5000, 0.0000, 0.5000)
Nd (0.5000, 0.5000, 0.0000)
Nd (0.5000, 0.5000, 0.5000)
Dy (0.2495, 0.2513, 0.2514)
Dy (0.2495, 0.2513, 0.7486)
Dy (0.2495, 0.7487, 0.2514)
Dy (0.2495, 0.7487, 0.7486)
Dy (0.7505, 0.2513, 0.2514)
Dy (0.7505, 0.2513, 0.7486)
Dy (0.7505, 0.7487, 0.2514)
Dy (0.7505, 0.7487, 0.7486)

Computed properties:
final energy: -4.69 eV/atom
formation energy from the elements: 0.017 eV per atom
N(E_F): 21.6 states/eV/cell